# CaPm2TmSe4

A geometry-optimized CaPm2TmSe4 structure (GGA-PBE, Alexandria).

The formation energy from raw total energies is -1.83 eV per atom.

Cell and atoms, written as CIF:
```
data_CaPm2TmSe4
_symmetry_space_group_name_H-M 'P 1 2/m 1'
_symmetry_Int_Tables_number 10
_cell_length_a 7.139
_cell_length_b 4.110
_cell_length_c 7.266
_cell_angle_alpha 90.00
_cell_angle_beta 108.90
_cell_angle_gamma 90.00
loop_
_symmetry_equiv_pos_as_xyz
'x,y,z'
'-x,-y,-z'
'-x,y,-z'
'x,-y,z'
loop_
_atom_site_label
_atom_site_type_symbol
_atom_site_fract_x
_atom_site_fract_y
_atom_site_fract_z
Ca1 Ca 0.000 0.000 0.000
Pm1 Pm 0.000 0.500 0.500
Pm2 Pm 0.500 0.000 0.500
Tm1 Tm 0.500 0.500 0.000
Se1 Se 0.251 0.500 0.239
Se2 Se 0.258 0.000 0.764
```

# NaLiAcIr

A geometry-optimized NaLiAcIr structure (GGA-PBE, Alexandria).

As for the energy relative to the elements: -0.027 eV/atom.

Cell and atoms, written as CIF:
```
data_NaLiAcIr
_symmetry_space_group_name_H-M 'F -4 3 m'
_symmetry_Int_Tables_number 216
_symmetry_space_group_name_Hall 'F -4 2 3'
_cell_length_a 7.228
_cell_length_b 7.228
_cell_length_c 7.228
_cell_angle_alpha 90.00
_cell_angle_beta 90.00
_cell_angle_gamma 90.00
loop_
_atom_site_label
_atom_site_type_symbol
_atom_site_fract_x
_atom_site_fract_y
_atom_site_fract_z
Na1 Na 0.000 0.000 0.000
Li1 Li 0.250 0.250 0.750
Ac1 Ac 0.000 0.000 0.500
Ir1 Ir 0.250 0.250 0.250
```

# PaCo

A geometry-optimized PaCo structure (GGA-PBE, Alexandria).

As for the energy relative to the elements: -0.125 eV/atom.

Cell and atoms, written as CIF:
```
data_PaCo
_symmetry_space_group_name_H-M 'P m -3 m'
_symmetry_Int_Tables_number 221
_symmetry_space_group_name_Hall '-P 4 2 3'
_cell_length_a 3.304
_cell_length_b 3.304
_cell_length_c 3.304
_cell_angle_alpha 90.00
_cell_angle_beta 90.00
_cell_angle_gamma 90.00
loop_
_atom_site_label
_atom_site_type_symbol
_atom_site_fract_x
_atom_site_fract_y
_atom_site_fract_z
Pa1 Pa 0.000 0.000 0.000
Co1 Co 0.500 0.500 0.500
```

# MnTlSi2

A geometry-optimized MnTlSi2 structure (GGA-PBE, Alexandria).

The energy above the most stable polymorph in this dataset comes out at 0.335 eV/atom. The formation energy from raw total energies is 0.47 eV per atom.

Cell and atoms, written as CIF:
```
data_MnTlSi2
_symmetry_space_group_name_H-M 'I m m m'
_symmetry_Int_Tables_number 71
_symmetry_space_group_name_Hall '-I 2 2'
_cell_length_a 2.746
_cell_length_b 4.857
_cell_length_c 10.610
_cell_angle_alpha 90.00
_cell_angle_beta 90.00
_cell_angle_gamma 90.00
loop_
_atom_site_label
_atom_site_type_symbol
_atom_site_fract_x
_atom_site_fract_y
_atom_site_fract_z
Mn1 Mn 0.000 0.000 0.000
Tl1 Tl 0.000 0.000 0.500
Si1 Si 0.000 0.500 0.299
```

# Li2Ni3

A geometry-optimized Li2Ni3 structure (GGA-PBE, Alexandria).

The energy above the most stable polymorph in this dataset comes out at 0.101 eV/atom. As for the energy relative to the elements: 0.097 eV/atom.

Cell and atoms, written as CIF:
```
data_Li2Ni3
_symmetry_space_group_name_H-M 'F d d 2'
_symmetry_Int_Tables_number 43
_symmetry_space_group_name_Hall 'F 2 -2d'
_cell_length_a 8.366
_cell_length_b 12.424
_cell_length_c 4.351
_cell_angle_alpha 90.00
_cell_angle_beta 90.00
_cell_angle_gamma 90.00
loop_
_atom_site_label
_atom_site_type_symbol
_atom_site_fract_x
_atom_site_fract_y
_atom_site_fract_z
Li1 Li 0.006 0.300 0.000
Ni1 Ni 0.000 0.000 0.486
Ni2 Ni 0.010 0.405 0.491
```

# CeBi2O7

A geometry-optimized CeBi2O7 structure (GGA-PBE, Alexandria).

The formation energy from raw total energies is -1.35 eV per atom.

Cell and atoms, written as CIF:
```
data_CeBi2O7
_symmetry_space_group_name_H-M 'R -3 m'
_symmetry_Int_Tables_number 166
_symmetry_space_group_name_Hall '-R 3 2"'
_cell_length_a 3.8828
_cell_length_b 3.8828
_cell_length_c 31.6459
_cell_angle_alpha 90.00
_cell_angle_beta 90.00
_cell_angle_gamma 120.00
loop_
_atom_site_label
_atom_site_type_symbol
_atom_site_fract_x
_atom_site_fract_y
_atom_site_fract_z
Ce1 Ce 0.0000 0.0000 0.0000
Bi1 Bi 0.0000 0.0000 0.4333
O1 O 0.0000 0.0000 0.0749
O2 O 0.0000 0.0000 0.2221
O3 O 0.0000 0.0000 0.3589
O4 O 0.0000 0.0000 0.5000
```

# Li4Ga4Ag3

A geometry-optimized Li4Ga4Ag3 structure (GGA-PBE, Alexandria).

The energy above the most stable polymorph in this dataset comes out at 0.008 eV/atom. As for the energy relative to the elements: -0.230 eV/atom.

Cell and atoms, written as CIF:
```
data_Li4Ga4Ag3
_symmetry_space_group_name_H-M 'P -1'
_symmetry_Int_Tables_number 2
_cell_length_a 2.916
_cell_length_b 4.013
_cell_length_c 15.395
_cell_angle_alpha 97.41
_cell_angle_beta 94.99
_cell_angle_gamma 90.11
loop_
_symmetry_equiv_pos_as_xyz
'x,y,z'
'-x,-y,-z'
loop_
_atom_site_label
_atom_site_type_symbol
_atom_site_fract_x
_atom_site_fract_y
_atom_site_fract_z
Li1 Li 0.047 0.046 0.091
Li2 Li 0.318 0.319 0.637
Ga1 Ga 0.228 0.227 0.454
Ga2 Ga 0.411 0.410 0.820
Ag1 Ag 0.136 0.137 0.273
Ag2 Ag 0.500 0.500 0.000
```

# InSiPb2

A geometry-optimized InSiPb2 structure (GGA-PBE, Alexandria).

The formation energy from raw total energies is 0.27 eV per atom.

Cell and atoms, written as CIF:
```
data_InSiPb2
_symmetry_space_group_name_H-M 'I m m 2'
_symmetry_Int_Tables_number 44
_cell_length_a 3.550
_cell_length_b 5.488
_cell_length_c 11.040
_cell_angle_alpha 90.00
_cell_angle_beta 90.00
_cell_angle_gamma 90.00
loop_
_symmetry_equiv_pos_as_xyz
'x,y,z'
'-x,-y,z'
'-x,y,z'
'x,-y,z'
'x+1/2,y+1/2,z+1/2'
'-x+1/2,-y+1/2,z+1/2'
'-x+1/2,y+1/2,z+1/2'
'x+1/2,-y+1/2,z+1/2'
loop_
_atom_site_label
_atom_site_type_symbol
_atom_site_fract_x
_atom_site_fract_y
_atom_site_fract_z
In1 In 0.000 0.000 0.000
Si1 Si 0.000 0.500 0.294
Pb1 Pb 0.000 0.000 0.579
Pb2 Pb 0.000 0.500 0.780
```

# HgB2F

A geometry-optimized HgB2F structure (GGA-PBE, Alexandria).

The energy above the most stable polymorph in this dataset comes out at 0.906 eV/atom. The formation energy from raw total energies is 1.32 eV per atom.

Cell and atoms, written as CIF:
```
data_HgB2F
_symmetry_space_group_name_H-M 'F m -3 m'
_symmetry_Int_Tables_number 225
_symmetry_space_group_name_Hall '-F 4 2 3'
_cell_length_a 5.831
_cell_length_b 5.831
_cell_length_c 5.831
_cell_angle_alpha 90.00
_cell_angle_beta 90.00
_cell_angle_gamma 90.00
loop_
_atom_site_label
_atom_site_type_symbol
_atom_site_fract_x
_atom_site_fract_y
_atom_site_fract_z
Hg1 Hg 0.000 0.000 0.000
B1 B 0.250 0.250 0.250
F1 F 0.000 0.000 0.500
```

# Mg3BRu

A geometry-optimized Mg3BRu structure (GGA-PBE, Alexandria).

The energy above the most stable polymorph in this dataset comes out at 0.000 eV/atom. As for the energy relative to the elements: 0.636 eV/atom.

Cell and atoms, written as CIF:
```
data_Mg3BRu
_symmetry_space_group_name_H-M 'P m -3 m'
_symmetry_Int_Tables_number 221
_symmetry_space_group_name_Hall '-P 4 2 3'
_cell_length_a 4.433
_cell_length_b 4.433
_cell_length_c 4.433
_cell_angle_alpha 90.00
_cell_angle_beta 90.00
_cell_angle_gamma 90.00
loop_
_atom_site_label
_atom_site_type_symbol
_atom_site_fract_x
_atom_site_fract_y
_atom_site_fract_z
Mg1 Mg 0.000 0.000 0.500
B1 B 0.000 0.000 0.000
Ru1 Ru 0.500 0.500 0.500
```

# RhPbBr

A geometry-optimized RhPbBr structure (GGA-PBE, Alexandria).

The energy above the most stable polymorph in this dataset comes out at 0.000 eV/atom. The formation energy from raw total energies is 0.01 eV per atom.

Cell and atoms, written as CIF:
```
data_RhPbBr
_symmetry_space_group_name_H-M 'P 3 m 1'
_symmetry_Int_Tables_number 156
_cell_length_a 4.0925
_cell_length_b 4.0925
_cell_length_c 5.4582
_cell_angle_alpha 90.00
_cell_angle_beta 90.00
_cell_angle_gamma 120.00
loop_
_symmetry_equiv_pos_as_xyz
'x,y,z'
'-y,x-y,z'
'-x+y,-x,z'
'-y,-x,z'
'-x+y,y,z'
'x,x-y,z'
loop_
_atom_site_label
_atom_site_type_symbol
_atom_site_fract_x
_atom_site_fract_y
_atom_site_fract_z
Rh1 Rh 0.0000 0.0000 0.0000
Pb1 Pb 0.3333 0.6667 0.7882
Br1 Br 0.6667 0.3333 0.2761
```

# RbNa2Mn

A geometry-optimized RbNa2Mn structure (GGA-PBE, Alexandria).

The energy above the most stable polymorph in this dataset comes out at 0.000 eV/atom. As for the energy relative to the elements: 0.614 eV/atom.

Cell and atoms, written as CIF:
```
data_RbNa2Mn
_symmetry_space_group_name_H-M 'F m -3 m'
_symmetry_Int_Tables_number 225
_symmetry_space_group_name_Hall '-F 4 2 3'
_cell_length_a 8.435
_cell_length_b 8.435
_cell_length_c 8.435
_cell_angle_alpha 90.00
_cell_angle_beta 90.00
_cell_angle_gamma 90.00
loop_
_atom_site_label
_atom_site_type_symbol
_atom_site_fract_x
_atom_site_fract_y
_atom_site_fract_z
Rb1 Rb 0.000 0.000 0.000
Na1 Na 0.250 0.250 0.250
Mn1 Mn 0.000 0.000 0.500
```

# SrBr3F

A geometry-optimized SrBr3F structure (GGA-PBE, Alexandria).

The energy above the most stable polymorph in this dataset comes out at 0.000 eV/atom. The formation energy from raw total energies is -0.98 eV per atom.

Cell and atoms, written as CIF:
```
data_SrBr3F
_symmetry_space_group_name_H-M 'P m -3 m'
_symmetry_Int_Tables_number 221
_symmetry_space_group_name_Hall '-P 4 2 3'
_cell_length_a 5.084
_cell_length_b 5.084
_cell_length_c 5.084
_cell_angle_alpha 90.00
_cell_angle_beta 90.00
_cell_angle_gamma 90.00
loop_
_atom_site_label
_atom_site_type_symbol
_atom_site_fract_x
_atom_site_fract_y
_atom_site_fract_z
Sr1 Sr 0.000 0.000 0.000
Br1 Br 0.000 0.500 0.500
F1 F 0.500 0.500 0.500
```